Entry from the Alexandria database: an optimized crystal structure of Pr3Ga2Si3 (GGA-PBE).

Structure (POSCAR):
```
Pr3Ga2Si3
1.0
2.1151 -5.6409 0.0000
2.1151 5.6409 0.0000
0.0000 0.0000 14.9410
Pr Ga Si
6 4 6
direct
0.0635 0.9365 0.6123 Pr
0.0635 0.9365 0.8877 Pr
0.3521 0.6479 0.7500 Pr
0.6479 0.3521 0.2500 Pr
0.9365 0.0635 0.1123 Pr
0.9365 0.0635 0.3877 Pr
0.2244 0.7756 0.1020 Ga
0.2244 0.7756 0.3980 Ga
0.7756 0.2244 0.6020 Ga
0.7756 0.2244 0.8980 Ga
0.3621 0.6379 0.2500 Si
0.3789 0.6211 0.5408 Si
0.3789 0.6211 0.9592 Si
0.6211 0.3789 0.0408 Si
0.6211 0.3789 0.4592 Si
0.6379 0.3621 0.7500 Si
```

Computed properties:
The space group is No. 63. As for the total DFT energy (no corrections): -5.156 eV/atom. As for the density of states at the Fermi level: 0.8174 states/eV per atom. The energy above the most stable polymorph in this dataset comes out at 69.3 meV/atom.


Entry from the Alexandria database: an optimized crystal structure of Pr4GaSi (GGA-PBE).

Structure (POSCAR):
```
Pr4GaSi
1.0
2.8252 -10.5243 0.0000
2.8252 10.5243 0.0000
0.0000 0.0000 6.3145
Pr Ga Si
8 2 2
direct
0.0621 0.9379 0.7500 Pr
0.2107 0.7893 0.5020 Pr
0.2107 0.7893 0.9980 Pr
0.3888 0.6112 0.7500 Pr
0.6112 0.3888 0.2500 Pr
0.7893 0.2107 0.0020 Pr
0.7893 0.2107 0.4980 Pr
0.9379 0.0621 0.2500 Pr
0.0780 0.9220 0.2500 Ga
0.9220 0.0780 0.7500 Ga
0.3425 0.6575 0.2500 Si
0.6575 0.3425 0.7500 Si
```

Computed properties:
The space group is No. 63. As for the total DFT energy (no corrections): -4.802 eV/atom. As for the density of states at the Fermi level: 1.2393 states/eV per atom.


Entry from the Alexandria database: an optimized crystal structure of Pr3GaSi (GGA-PBE).

Structure (POSCAR):
```
Pr3GaSi
1.0
9.5287 0.0000 0.0000
0.0000 7.8233 0.0000
-3.2726 0.0000 7.7155
Pr Ga Si
12 4 4
direct
0.0563 0.0035 0.2066 Pr
0.0563 0.4965 0.7066 Pr
0.2922 0.6787 0.1057 Pr
0.2922 0.8213 0.6057 Pr
0.3483 0.1779 0.9842 Pr
0.3483 0.3221 0.4842 Pr
0.6517 0.6779 0.5158 Pr
0.6517 0.8221 0.0158 Pr
0.7078 0.1787 0.3943 Pr
0.7078 0.3213 0.8943 Pr
0.9437 0.5035 0.2934 Pr
0.9437 0.9965 0.7934 Pr
0.0840 0.1485 0.5520 Ga
0.0840 0.3515 0.0520 Ga
0.9160 0.6485 0.9480 Ga
0.9160 0.8515 0.4480 Ga
0.4193 0.5203 0.8446 Si
0.4193 0.9797 0.3446 Si
0.5807 0.0203 0.6554 Si
0.5807 0.4797 0.1554 Si
```

Computed properties:
The space group is No. 14. As for the total DFT energy (no corrections): -5.040 eV/atom. As for the density of states at the Fermi level: 0.9789 states/eV per atom. The energy above the most stable polymorph in this dataset comes out at 0.0 meV/atom.


Entry from the Alexandria database: an optimized crystal structure of Pr2Ga3Si (GGA-PBE).

Structure (POSCAR):
```
Pr2Ga3Si
1.0
4.2301 0.0000 0.0000
0.0000 4.3291 0.0000
0.0000 0.0000 7.3309
Pr Ga Si
2 3 1
direct
0.0000 0.0000 0.0000 Pr
0.5000 0.0000 0.4895 Pr
0.0000 0.5000 0.3286 Ga
0.0000 0.5000 0.6637 Ga
0.5000 0.5000 0.8292 Ga
0.5000 0.5000 0.1596 Si
```

Computed properties:
The space group is No. 25. As for the total DFT energy (no corrections): -4.721 eV/atom. As for the density of states at the Fermi level: 0.2908 states/eV per atom.


Entry from the Alexandria database: an optimized crystal structure of Pr8Ga2Si (GGA-PBE).

Structure (POSCAR):
```
Pr8Ga2Si
1.0
9.5695 -2.5643 0.0000
9.5695 2.5643 0.0000
-1.9174 0.0000 6.7701
Pr Ga Si
8 2 1
direct
0.0165 0.0165 0.2756 Pr
0.2094 0.2094 0.8183 Pr
0.3418 0.3418 0.5226 Pr
0.4079 0.4079 0.0391 Pr
0.5921 0.5921 0.9609 Pr
0.6582 0.6582 0.4774 Pr
0.7906 0.7906 0.1817 Pr
0.9835 0.9835 0.7244 Pr
0.1791 0.1791 0.2372 Ga
0.8209 0.8209 0.7628 Ga
0.5000 0.5000 0.5000 Si
```

Computed properties:
The space group is No. 12. As for the total DFT energy (no corrections): -4.812 eV/atom. As for the density of states at the Fermi level: 1.0305 states/eV per atom.


Entry from the Alexandria database: an optimized crystal structure of Pr3Ga2Si2 (GGA-PBE).

Structure (POSCAR):
```
Pr3Ga2Si2
1.0
5.5465 -2.1979 0.0000
5.5465 2.1979 0.0000
-3.0079 0.0000 6.9627
Pr Ga Si
3 2 2
direct
0.0000 0.0000 0.0000 Pr
0.1807 0.1807 0.6269 Pr
0.8193 0.8193 0.3731 Pr
0.3114 0.3114 0.0699 Ga
0.6886 0.6886 0.9301 Ga
0.4751 0.4751 0.6536 Si
0.5249 0.5249 0.3464 Si
```

Computed properties:
The space group is No. 12. As for the total DFT energy (no corrections): -5.131 eV/atom. As for the density of states at the Fermi level: 0.6003 states/eV per atom. The energy above the most stable polymorph in this dataset comes out at 46.4 meV/atom.


Entry from the Alexandria database: an optimized crystal structure of Pr3GaSi4 (GGA-PBE).

Structure (POSCAR):
```
Pr3GaSi4
1.0
-2.2578 2.9170 7.5645
2.2578 -2.9170 7.5645
2.2578 2.9170 -7.5645
Pr Ga Si
3 1 4
direct
0.0000 0.0000 0.0000 Pr
0.3131 0.8131 0.5000 Pr
0.6869 0.1869 0.5000 Pr
0.5000 0.5000 0.0000 Ga
0.0750 0.3760 0.6990 Si
0.3230 0.6240 0.6990 Si
0.6770 0.3760 0.3010 Si
0.9250 0.6240 0.3010 Si
```

Computed properties:
The space group is No. 71. As for the total DFT energy (no corrections): -5.362 eV/atom. As for the density of states at the Fermi level: 0.2905 states/eV per atom.


Entry from the Alexandria database: an optimized crystal structure of Pr3GaSi (GGA-PBE).

Structure (POSCAR):
```
Pr3GaSi
1.0
4.1966 0.0000 0.0000
2.0910 7.8272 0.0000
0.0043 0.5054 8.6057
Pr Ga Si
6 2 2
direct
0.0463 0.4078 0.1738 Pr
0.2365 0.0272 0.8240 Pr
0.4047 0.6888 0.4215 Pr
0.5953 0.3112 0.5785 Pr
0.7635 0.9728 0.1760 Pr
0.9537 0.5922 0.8262 Pr
0.2092 0.0826 0.4299 Ga
0.7908 0.9174 0.5701 Ga
0.3938 0.7128 0.0673 Si
0.6062 0.2872 0.9327 Si
```

Computed properties:
The space group is No. 2. As for the total DFT energy (no corrections): -5.016 eV/atom. As for the density of states at the Fermi level: 0.9452 states/eV per atom. The energy above the most stable polymorph in this dataset comes out at 23.4 meV/atom.


Copy entry 1 word for word.
Entry from the Alexandria database: an optimized crystal structure of Pr3Ga2Si3 (GGA-PBE).

Structure (POSCAR):
```
Pr3Ga2Si3
1.0
2.1151 -5.6409 0.0000
2.1151 5.6409 0.0000
0.0000 0.0000 14.9410
Pr Ga Si
6 4 6
direct
0.0635 0.9365 0.6123 Pr
0.0635 0.9365 0.8877 Pr
0.3521 0.6479 0.7500 Pr
0.6479 0.3521 0.2500 Pr
0.9365 0.0635 0.1123 Pr
0.9365 0.0635 0.3877 Pr
0.2244 0.7756 0.1020 Ga
0.2244 0.7756 0.3980 Ga
0.7756 0.2244 0.6020 Ga
0.7756 0.2244 0.8980 Ga
0.3621 0.6379 0.2500 Si
0.3789 0.6211 0.5408 Si
0.3789 0.6211 0.9592 Si
0.6211 0.3789 0.0408 Si
0.6211 0.3789 0.4592 Si
0.6379 0.3621 0.7500 Si
```

Computed properties:
The space group is No. 63. As for the total DFT energy (no corrections): -5.156 eV/atom. As for the density of states at the Fermi level: 0.8174 states/eV per atom. The energy above the most stable polymorph in this dataset comes out at 69.3 meV/atom.